! KU4Cr3S12 (PBE, optimized geometry); values from VASP
&SYSTEM
  ibrav = 0, nat = 20, ntyp = 4
/
ATOMIC_SPECIES
K 39.10 K.upf
U 238.03 U.upf
Cr 52.00 Cr.upf
S 32.06 S.upf
ATOMIC_POSITIONS angstrom
K 0.000 0.000 0.000
U 4.254 0.000 0.000
U 1.418 2.005 3.473
U -1.418 4.010 0.000
U -1.418 -2.005 3.473
Cr -2.836 2.005 3.473
Cr 2.836 4.010 0.000
Cr 2.836 -2.005 3.473
S -0.080 6.072 1.052
S 2.915 -2.061 5.894
S 1.977 4.617 3.570
S 4.813 4.794 1.162
S 5.751 -0.064 2.214
S -0.859 2.620 2.214
S 2.756 1.885 1.162
S -2.915 4.074 4.732
S 0.859 -0.607 3.376
S -1.977 -0.783 5.784
S 3.694 1.391 4.732
S 0.080 2.125 5.784
CELL_PARAMETERS angstrom
8.507 0.000 0.000
-2.836 8.021 0.000
-2.836 -4.010 6.946
! Final energy   -144.3 eV/cell
! Density of states at the Fermi level   20.63 states/eV per cell
! M_tot   4.974 μB per formula unit
! SG   Im-3 (204)
! Formation energy from raw total energies   -984 meV/atom